# CoPtCl4 (GGA-PBE, optimized geometry)
data_CoPtCl4
_chemical_formula_sum 'Co4 Pt4 Cl16'
_cell_length_a 7.959
_cell_length_b 7.959
_cell_length_c 7.959
_cell_angle_alpha 90.00
_cell_angle_beta 90.00
_cell_angle_gamma 90.00
_symmetry_space_group_name_H-M 'F -4 3 m'
_symmetry_Int_Tables_number 216
_symmetry_space_group_name_Hall 'F -4 2 3'
loop_
_atom_site_label
_atom_site_fract_x
_atom_site_fract_y
_atom_site_fract_z
_atom_site_occupancy
Co1 0.000 0.000 0.000 1
Pt1 0.250 0.250 0.750 1
Cl1 0.125 0.125 0.375 1
# V = 21.0 Å³/atom
# ΔE_f (raw) = 1355 meV per atom
# density of states at the Fermi level = 11.8 states/eV/f.u.